(1)
VASP calculation (PBE) on a relaxed Na4In2HgPt crystal.

a = 4.947 Å, b = 4.947 Å, c = 7.155 Å
α = 90.00°, β = 90.00°, γ = 90.00°
Atoms (fractional coordinates):
Na (0.000, 0.000, 0.000)
Na (0.000, 0.500, 0.241)
Na (0.500, 0.000, 0.759)
Na (0.500, 0.500, 0.500)
In (0.000, 0.500, 0.777)
In (0.500, 0.000, 0.223)
Hg (0.000, 0.000, 0.500)
Pt (0.500, 0.500, 0.000)

Mass density: 6.80 Mg/m³
Volume: 21.888 Å³/atom

---

(2)
VASP calculation (PBE) on a relaxed Na4TlInHg2 crystal.

a = 5.208 Å, b = 5.208 Å, c = 7.357 Å
α = 90.00°, β = 90.00°, γ = 90.00°
Atoms (fractional coordinates):
Na (0.000, 0.000, 0.000)
Na (0.000, 0.500, 0.250)
Na (0.500, 0.000, 0.750)
Na (0.500, 0.500, 0.500)
Tl (0.000, 0.000, 0.500)
In (0.500, 0.500, 0.000)
Hg (0.000, 0.500, 0.755)
Hg (0.500, 0.000, 0.245)

Mass density: 6.76 Mg/m³
Volume: 24.947 Å³/atom

---

(3)
VASP calculation (PBE) on a relaxed NbInHg2 crystal.

a = 4.973 Å, b = 4.973 Å, c = 4.973 Å
α = 60.00°, β = 60.00°, γ = 60.00°
Atoms (fractional coordinates):
Nb (0.000, 0.000, 0.000)
In (0.750, 0.750, 0.750)
Hg (0.250, 0.250, 0.250)
Hg (0.500, 0.500, 0.500)

Mass density: 11.63 Mg/m³
Volume: 21.738 Å³/atom

---

(4)
VASP calculation (PBE) on a relaxed NbInHg crystal.

a = 4.657 Å, b = 4.657 Å, c = 4.657 Å
α = 60.00°, β = 60.00°, γ = 60.00°
Atoms (fractional coordinates):
Nb (0.000, 0.000, 0.000)
In (0.500, 0.500, 0.500)
Hg (0.750, 0.750, 0.750)

Mass density: 9.49 Mg/m³
Energy above the most stable polymorph in this dataset: 0 meV/atom
Volume: 23.811 Å³/atom

---

(5)
VASP calculation (PBE) on a relaxed Nb2InHg crystal.

a = 4.832 Å, b = 4.832 Å, c = 4.832 Å
α = 60.00°, β = 60.00°, γ = 60.00°
Atoms (fractional coordinates):
Nb (0.000, 0.000, 0.000)
Nb (0.250, 0.250, 0.250)
In (0.500, 0.500, 0.500)
Hg (0.750, 0.750, 0.750)

Mass density: 10.43 Mg/m³
Volume: 19.941 Å³/atom

---

(6)
VASP calculation (PBE) on a relaxed NbInNiHg crystal.

a = 4.665 Å, b = 4.665 Å, c = 4.665 Å
α = 60.00°, β = 60.00°, γ = 60.00°
Atoms (fractional coordinates):
Nb (0.000, 0.000, 0.000)
In (0.500, 0.500, 0.500)
Ni (0.750, 0.750, 0.750)
Hg (0.250, 0.250, 0.250)

Mass density: 10.80 Mg/m³
Energy above the most stable polymorph in this dataset: 0 meV/atom
Volume: 17.950 Å³/atom

---

(7)
VASP calculation (PBE) on a relaxed NbInNiHg crystal.

a = 4.659 Å, b = 4.659 Å, c = 4.659 Å
α = 60.00°, β = 60.00°, γ = 60.00°
Atoms (fractional coordinates):
Nb (0.000, 0.000, 0.000)
In (0.250, 0.250, 0.250)
Ni (0.500, 0.500, 0.500)
Hg (0.750, 0.750, 0.750)

Mass density: 10.84 Mg/m³
Energy above the most stable polymorph in this dataset: 16 meV/atom
Volume: 17.879 Å³/atom

---

(8)
VASP calculation (PBE) on a relaxed NdInHgO3 crystal.

a = 7.375 Å, b = 7.375 Å, c = 8.426 Å
α = 90.00°, β = 90.00°, γ = 151.71°
Atoms (fractional coordinates):
Nd (0.000, 0.000, 0.000)
Nd (0.000, 0.000, 0.500)
In (0.344, 0.656, 0.750)
In (0.656, 0.344, 0.250)
Hg (0.309, 0.691, 0.250)
Hg (0.691, 0.309, 0.750)
O (0.068, 0.932, 0.250)
O (0.393, 0.607, 0.017)
O (0.393, 0.607, 0.483)
O (0.607, 0.393, 0.517)
O (0.607, 0.393, 0.983)
O (0.932, 0.068, 0.750)

Mass density: 7.76 Mg/m³
Volume: 18.101 Å³/atom

---

(9)
VASP calculation (PBE) on a relaxed NdInHg3S4 crystal.

a = 6.748 Å, b = 6.748 Å, c = 6.748 Å
α = 90.00°, β = 90.00°, γ = 90.00°
Atoms (fractional coordinates):
Nd (0.000, 0.000, 0.000)
In (0.500, 0.500, 0.500)
Hg (0.000, 0.000, 0.500)
Hg (0.000, 0.500, 0.000)
Hg (0.500, 0.000, 0.000)
S (0.228, 0.228, 0.772)
S (0.228, 0.772, 0.228)
S (0.772, 0.228, 0.228)
S (0.772, 0.772, 0.772)

Mass density: 5.34 Mg/m³
Volume: 34.144 Å³/atom

---

(10)
VASP calculation (PBE) on a relaxed NdInHg3Se4 crystal.

a = 6.923 Å, b = 6.923 Å, c = 6.923 Å
α = 90.00°, β = 90.00°, γ = 90.00°
Atoms (fractional coordinates):
Nd (0.000, 0.000, 0.000)
In (0.500, 0.500, 0.500)
Hg (0.000, 0.000, 0.500)
Hg (0.000, 0.500, 0.000)
Hg (0.500, 0.000, 0.000)
Se (0.233, 0.233, 0.767)
Se (0.233, 0.767, 0.233)
Se (0.767, 0.233, 0.233)
Se (0.767, 0.767, 0.767)

Mass density: 5.89 Mg/m³
Volume: 36.874 Å³/atom

---

(11)
VASP calculation (PBE) on a relaxed NdInHgSe3 crystal.

a = 7.493 Å, b = 7.493 Å, c = 11.238 Å
α = 90.00°, β = 90.00°, γ = 146.56°
Atoms (fractional coordinates):
Nd (0.000, 0.000, 0.000)
Nd (0.000, 0.000, 0.500)
In (0.250, 0.750, 0.750)
In (0.750, 0.250, 0.250)
Hg (0.461, 0.539, 0.250)
Hg (0.539, 0.461, 0.750)
Se (0.083, 0.917, 0.250)
Se (0.361, 0.639, 0.052)
Se (0.361, 0.639, 0.448)
Se (0.639, 0.361, 0.552)
Se (0.639, 0.361, 0.948)
Se (0.917, 0.083, 0.750)

Mass density: 6.65 Mg/m³
Volume: 28.975 Å³/atom

---

(12)
VASP calculation (PBE) on a relaxed NdInHgTe3 crystal.

a = 12.816 Å, b = 4.668 Å, c = 13.288 Å
α = 90.00°, β = 90.00°, γ = 90.00°
Atoms (fractional coordinates):
Nd (0.028, 0.250, 0.188)
Nd (0.472, 0.750, 0.688)
Nd (0.528, 0.250, 0.312)
Nd (0.972, 0.750, 0.812)
In (0.182, 0.250, 0.492)
In (0.318, 0.750, 0.992)
In (0.682, 0.250, 0.008)
In (0.818, 0.750, 0.508)
Hg (0.244, 0.750, 0.300)
Hg (0.256, 0.250, 0.800)
Hg (0.744, 0.750, 0.200)
Hg (0.756, 0.250, 0.700)
Te (0.030, 0.750, 0.358)
Te (0.087, 0.250, 0.937)
Te (0.221, 0.750, 0.673)
Te (0.279, 0.250, 0.173)
Te (0.413, 0.750, 0.437)
Te (0.470, 0.250, 0.858)
Te (0.530, 0.750, 0.142)
Te (0.587, 0.250, 0.563)
Te (0.721, 0.750, 0.827)
Te (0.779, 0.250, 0.327)
Te (0.913, 0.750, 0.063)
Te (0.970, 0.250, 0.642)

Mass density: 7.04 Mg/m³
Energy above the most stable polymorph in this dataset: 37 meV/atom
Volume: 33.126 Å³/atom

---

(13)
VASP calculation (PBE) on a relaxed NdInHg3Te4 crystal.

a = 7.280 Å, b = 7.280 Å, c = 7.280 Å
α = 90.00°, β = 90.00°, γ = 90.00°
Atoms (fractional coordinates):
Nd (0.000, 0.000, 0.000)
In (0.500, 0.500, 0.500)
Hg (0.000, 0.000, 0.500)
Hg (0.000, 0.500, 0.000)
Hg (0.500, 0.000, 0.000)
Te (0.237, 0.237, 0.763)
Te (0.237, 0.763, 0.237)
Te (0.763, 0.237, 0.237)
Te (0.763, 0.763, 0.763)

Mass density: 5.90 Mg/m³
Volume: 42.864 Å³/atom

---

(14)
VASP calculation (PBE) on a relaxed NdInHgTe3 crystal.

a = 7.966 Å, b = 7.966 Å, c = 11.749 Å
α = 90.00°, β = 90.00°, γ = 147.21°
Atoms (fractional coordinates):
Nd (0.000, 0.000, 0.000)
Nd (0.000, 0.000, 0.500)
In (0.239, 0.761, 0.750)
In (0.761, 0.239, 0.250)
Hg (0.468, 0.532, 0.250)
Hg (0.532, 0.468, 0.750)
Te (0.090, 0.910, 0.250)
Te (0.357, 0.643, 0.056)
Te (0.357, 0.643, 0.444)
Te (0.643, 0.357, 0.556)
Te (0.643, 0.357, 0.944)
Te (0.910, 0.090, 0.750)

Mass density: 6.93 Mg/m³
Energy above the most stable polymorph in this dataset: 0 meV/atom
Volume: 33.644 Å³/atom

---

(15)
VASP calculation (PBE) on a relaxed InNiHgPt crystal.

a = 4.593 Å, b = 4.593 Å, c = 4.593 Å
α = 60.00°, β = 60.00°, γ = 60.00°
Atoms (fractional coordinates):
In (0.000, 0.000, 0.000)
Ni (0.250, 0.250, 0.250)
Hg (0.500, 0.500, 0.500)
Pt (0.750, 0.750, 0.750)

Mass density: 13.80 Mg/m³
Energy above the most stable polymorph in this dataset: 0 meV/atom
Volume: 17.123 Å³/atom

---

(16)
VASP calculation (PBE) on a relaxed InTcNiHg crystal.

a = 4.610 Å, b = 4.610 Å, c = 4.610 Å
α = 60.00°, β = 60.00°, γ = 60.00°
Atoms (fractional coordinates):
In (0.000, 0.000, 0.000)
Tc (0.500, 0.500, 0.500)
Ni (0.250, 0.250, 0.250)
Hg (0.750, 0.750, 0.750)

Mass density: 11.32 Mg/m³
Energy above the most stable polymorph in this dataset: 125 meV/atom
Volume: 17.315 Å³/atom

---

(17)
VASP calculation (PBE) on a relaxed InTcNiHg crystal.

a = 4.569 Å, b = 4.569 Å, c = 4.569 Å
α = 60.00°, β = 60.00°, γ = 60.00°
Atoms (fractional coordinates):
In (0.000, 0.000, 0.000)
Tc (0.750, 0.750, 0.750)
Ni (0.250, 0.250, 0.250)
Hg (0.500, 0.500, 0.500)

Mass density: 11.62 Mg/m³
Energy above the most stable polymorph in this dataset: 0 meV/atom
Volume: 16.863 Å³/atom

---

(18)
VASP calculation (PBE) on a relaxed YInNiHg crystal.

a = 4.866 Å, b = 4.866 Å, c = 4.866 Å
α = 60.00°, β = 60.00°, γ = 60.00°
Atoms (fractional coordinates):
Y (0.000, 0.000, 0.000)
In (0.500, 0.500, 0.500)
Ni (0.250, 0.250, 0.250)
Hg (0.750, 0.750, 0.750)

Mass density: 9.44 Mg/m³
Volume: 20.365 Å³/atom

---

(19)
VASP calculation (PBE) on a relaxed ZnInNiHg crystal.

a = 4.629 Å, b = 4.629 Å, c = 4.629 Å
α = 60.00°, β = 60.00°, γ = 60.00°
Atoms (fractional coordinates):
Zn (0.000, 0.000, 0.000)
In (0.500, 0.500, 0.500)
Ni (0.750, 0.750, 0.750)
Hg (0.250, 0.250, 0.250)

Mass density: 10.41 Mg/m³
Volume: 17.535 Å³/atom

---

(20)
VASP calculation (PBE) on a relaxed NpInHg crystal.

a = 4.858 Å, b = 4.858 Å, c = 4.858 Å
α = 60.00°, β = 60.00°, γ = 60.00°
Atoms (fractional coordinates):
Np (0.000, 0.000, 0.000)
In (0.500, 0.500, 0.500)
Hg (0.750, 0.750, 0.750)

Mass density: 11.31 Mg/m³
Energy above the most stable polymorph in this dataset: 0 meV/atom
Volume: 27.029 Å³/atom

---

Number 1: total DFT energy (no corrections) -2.34 eV per atom. Number 2: total DFT energy (no corrections) -1.55 eV per atom. Number 3: total DFT energy (no corrections) -2.84 eV per atom. Number 4: total DFT energy (no corrections) -3.70 eV per atom. Number 5: total DFT energy (no corrections) -5.34 eV per atom. Number 6: total DFT energy (no corrections) -4.36 eV per atom. Number 7: total DFT energy (no corrections) -4.34 eV per atom. Number 8: total DFT energy (no corrections) -5.52 eV per atom. Number 9: total DFT energy (no corrections) -3.15 eV per atom. Number 10: total DFT energy (no corrections) -2.91 eV per atom. Number 11: total DFT energy (no corrections) -3.93 eV per atom. Number 12: total DFT energy (no corrections) -3.52 eV per atom. Number 13: total DFT energy (no corrections) -2.62 eV per atom. Number 14: total DFT energy (no corrections) -3.56 eV per atom. Number 15: total DFT energy (no corrections) -3.72 eV per atom. Number 16: total DFT energy (no corrections) -4.20 eV per atom. Number 17: total DFT energy (no corrections) -4.33 eV per atom. Number 18: total DFT energy (no corrections) -4.04 eV per atom. Number 19: total DFT energy (no corrections) -2.26 eV per atom. Number 20: total DFT energy (no corrections) -4.99 eV per atom.